# Rb6AuCl, optimized geometry, DFT GGA-PBE
data_Rb6AuCl
_chemical_formula_sum 'Rb12 Au2 Cl2'
_space_group_name_H-M_alt 'P -3 1 c'
_space_group_IT_number 163
_space_group_name_Hall '-P 3 2c'
_cell_length_a 8.5249
_cell_length_b 8.5249
_cell_length_c 16.3099
_cell_angle_alpha 90.00
_cell_angle_beta 90.00
_cell_angle_gamma 120.00
loop_
_atom_site_label
_atom_site_type_symbol
_atom_site_fract_x
_atom_site_fract_y
_atom_site_fract_z
Rb1 Rb 0.0079 0.3249 0.1235
Au1 Au 0.3333 0.6667 0.2500
Cl1 Cl 0.0000 0.0000 0.0000
# Formation energy from raw total energies in eV/atom: -0.518